--- w ---
Compound: NaAlI2
Source: the Alexandria database
Functional: PBE-GGA
Structure: optimized geometry

Results
- Crystal system: cubic
- Density of states at the Fermi level: 0.00 states/eV/atom

abc: 5.716 5.716 5.716
angles: 60.00 60.00 60.00
Positions (direct):
I 0.250 0.250 0.250
I 0.750 0.750 0.750
Na 0.000 0.000 0.000
Al 0.500 0.500 0.500



--- x ---
Compound: NaAlI2
Source: the Alexandria database
Functional: PBE-GGA
Structure: optimized geometry

Results
- Crystal system: tetragonal
- Density of states at the Fermi level: 0.00 states/eV/atom

abc: 7.324 7.324 9.048
angles: 66.13 66.13 90.00
Positions (direct):
I 0.610 0.125 0.250
I 0.140 0.625 0.250
I 0.375 0.390 0.750
I 0.875 0.860 0.750
Na 0.500 0.500 0.000
Na 0.250 0.750 0.500
Al 0.000 0.000 0.000
Al 0.750 0.250 0.500



Stability check: which of them is most stable? x.



--- w ---
Compound: Na2Al2I
Source: the Alexandria database
Functional: PBE-GGA
Structure: optimized geometry

Results
- Crystal system: tetragonal
- Density of states at the Fermi level: 0.80 states/eV/atom

abc: 8.634 8.634 4.126
angles: 90.00 90.00 90.00
Positions (direct):
I 0.000 0.000 0.000
I 0.500 0.500 0.000
Na 0.314 0.814 0.000
Na 0.814 0.686 0.000
Na 0.686 0.186 0.000
Na 0.186 0.314 0.000
Al 0.106 0.606 0.500
Al 0.606 0.894 0.500
Al 0.894 0.394 0.500
Al 0.394 0.106 0.500



--- x ---
Compound: Na2Al2I
Source: the Alexandria database
Functional: PBE-GGA
Structure: optimized geometry

Results
- Crystal system: tetragonal
- Density of states at the Fermi level: 0.33 states/eV/atom

abc: 3.900 3.900 9.714
angles: 78.42 78.42 90.00
Positions (direct):
I 0.000 0.000 0.000
Na 0.398 0.398 0.204
Na 0.602 0.602 0.796
Al 0.750 0.250 0.500
Al 0.250 0.750 0.500



Stability check: which of them is most stable? x.



--- w ---
Compound: Rb2NaAlI6
Source: the Alexandria database
Functional: PBE-GGA
Structure: optimized geometry

Results
- Crystal system: trigonal
- Density of states at the Fermi level: 0.00 states/eV/atom

abc: 7.722 8.249 8.249
angles: 120.00 90.00 90.00
Positions (direct):
Rb 0.165 0.333 0.667
Rb 0.835 0.667 0.333
Na 0.500 0.000 0.000
Al 0.000 0.000 0.000
I 0.789 0.160 0.319
I 0.789 0.160 0.840
I 0.789 0.681 0.840
I 0.211 0.840 0.160
I 0.211 0.319 0.160
I 0.211 0.840 0.681



--- x ---
Compound: Rb2NaAlI6
Source: the Alexandria database
Functional: PBE-GGA
Structure: optimized geometry

Results
- Crystal system: cubic
- Density of states at the Fermi level: 0.00 states/eV/atom

abc: 8.408 8.408 8.408
angles: 60.00 60.00 90.00
Positions (direct):
I 0.234 0.234 0.532
I 0.766 0.766 0.468
I 0.234 0.234 0.000
I 0.766 0.766 0.000
I 0.766 0.234 0.000
I 0.234 0.766 0.000
Na 0.500 0.500 0.000
Al 0.000 0.000 0.000
Rb 0.750 0.250 0.500
Rb 0.250 0.750 0.500



Stability check: which of them is most stable? w.



--- w ---
Compound: NaAlSbI2
Source: the Alexandria database
Functional: PBE-GGA
Structure: optimized geometry

Results
- Crystal system: tetragonal
- Density of states at the Fermi level: 0.25 states/eV/atom

abc: 5.987 5.987 5.986
angles: 90.00 90.00 90.00
Each line ends with the local moment (μB).
Positions (direct):
I 0.000 0.500 0.000  0.14
I 0.500 0.000 0.000  0.14
Sb 0.000 0.000 0.500  0.92
Al 0.500 0.500 0.500  0.02
Na 0.000 0.000 0.000  0.02



--- x ---
Compound: NaAlSbI2
Source: the Alexandria database
Functional: PBE-GGA
Structure: optimized geometry

Results
- Crystal system: tetragonal
- Density of states at the Fermi level: 0.78 states/eV/atom

abc: 5.860 5.860 5.363
angles: 90.00 90.00 90.00
Each line ends with the local moment (μB).
Positions (direct):
I 0.000 0.500 0.000  0.08
I 0.500 0.000 0.000  0.08
Sb 0.000 0.000 0.500  0.37
Al 0.000 0.000 0.000  -0.01
Na 0.500 0.500 0.500  0.00



Stability check: which of them is most stable? x.



--- w ---
Compound: NaAlTeI2
Source: the Alexandria database
Functional: PBE-GGA
Structure: optimized geometry

Results
- Crystal system: tetragonal
- Density of states at the Fermi level: 0.81 states/eV/atom

abc: 5.777 5.777 5.387
angles: 90.00 90.00 90.00
Positions (direct):
I 0.000 0.500 0.000
I 0.500 0.000 0.000
Na 0.500 0.500 0.500
Te 0.000 0.000 0.500
Al 0.000 0.000 0.000



--- x ---
Compound: NaAlTeI2
Source: the Alexandria database
Functional: PBE-GGA
Structure: optimized geometry

Results
- Crystal system: tetragonal
- Density of states at the Fermi level: 0.83 states/eV/atom

abc: 6.010 6.010 5.778
angles: 90.00 90.00 90.00
Each line ends with the local moment (μB).
Positions (direct):
I 0.000 0.500 0.000  0.19
I 0.500 0.000 0.000  0.19
Na 0.000 0.000 0.000  0.00
Te 0.000 0.000 0.500  0.76
Al 0.500 0.500 0.500  0.00



--- y ---
Compound: NaAlTeI2
Source: the Alexandria database
Functional: PBE-GGA
Structure: optimized geometry

Results
- Crystal system: tetragonal
- Density of states at the Fermi level: 0.36 states/eV/atom

abc: 6.574 5.528 6.574
angles: 90.00 90.00 90.00
Positions (direct):
I 0.000 0.000 0.500
I 0.500 0.000 0.000
Na 0.500 0.500 0.500
Te 0.000 0.000 0.000
Al 0.000 0.500 0.000



Stability check: which of them is most stable? w.



--- w ---
Compound: Nb3AlI
Source: the Alexandria database
Functional: PBE-GGA
Structure: optimized geometry

Results
- Crystal system: cubic
- Density of states at the Fermi level: 2.80 states/eV/atom

abc: 4.989 4.989 4.989
angles: 90.00 90.00 90.00
Positions (direct):
I 0.000 0.000 0.000
Nb 0.000 0.500 0.000
Nb 0.000 0.000 0.500
Nb 0.500 0.000 0.000
Al 0.500 0.500 0.500



--- x ---
Compound: Nb3AlI
Source: the Alexandria database
Functional: PBE-GGA
Structure: optimized geometry

Results
- Crystal system: cubic
- Density of states at the Fermi level: 2.77 states/eV/atom

abc: 4.849 4.849 4.849
angles: 90.00 90.00 90.00
Positions (direct):
I 0.500 0.500 0.500
Nb 0.000 0.500 0.000
Nb 0.000 0.000 0.500
Nb 0.500 0.000 0.000
Al 0.000 0.000 0.000



Stability check: which of them is most stable? x.



--- w ---
Compound: NbAlI2
Source: the Alexandria database
Functional: PBE-GGA
Structure: optimized geometry

Results
- Crystal system: tetragonal
- Density of states at the Fermi level: 0.79 states/eV/atom

abc: 10.115 10.115 7.643
angles: 48.57 48.57 90.00
Each line ends with the local moment (μB).
Positions (direct):
I 0.774 0.125 0.250  0.01
I 0.976 0.625 0.250  0.01
I 0.375 0.226 0.750  0.02
I 0.875 0.024 0.750  0.01
Nb 0.000 0.000 0.000  1.01
Nb 0.750 0.250 0.500  1.01
Al 0.500 0.500 0.000  0.00
Al 0.250 0.750 0.500  0.00



--- x ---
Compound: NbAlI2
Source: the Alexandria database
Functional: PBE-GGA
Structure: optimized geometry

Results
- Crystal system: cubic
- Density of states at the Fermi level: 0.70 states/eV/atom

abc: 5.044 5.044 5.044
angles: 60.00 60.00 60.00
Positions (direct):
I 0.250 0.250 0.250
I 0.750 0.750 0.750
Nb 0.500 0.500 0.500
Al 0.000 0.000 0.000



Stability check: which of them is most stable? w.



--- w ---
Compound: Nb2AlI
Source: the Alexandria database
Functional: PBE-GGA
Structure: optimized geometry

Results
- Crystal system: tetragonal
- Density of states at the Fermi level: 0.49 states/eV/atom

abc: 4.130 4.130 10.246
angles: 78.37 78.37 90.00
Positions (direct):
I 0.000 0.000 0.000
I 0.750 0.250 0.500
Nb 0.616 0.125 0.250
Nb 0.134 0.625 0.250
Nb 0.375 0.384 0.750
Nb 0.875 0.866 0.750
Al 0.500 0.500 0.000
Al 0.250 0.750 0.500



--- x ---
Compound: Nb2AlI
Source: the Alexandria database
Functional: PBE-GGA
Structure: optimized geometry

Results
- Crystal system: cubic
- Density of states at the Fermi level: 0.78 states/eV/atom

abc: 4.753 4.753 4.753
angles: 60.00 60.00 60.00
Positions (direct):
I 0.500 0.500 0.500
Nb 0.250 0.250 0.250
Nb 0.750 0.750 0.750
Al 0.000 0.000 0.000



Stability check: which of them is most stable? x.